Record 1
# K2FeW | the Alexandria database | PBEsol | relaxed
# * N(E_F): 3.488 states/eV/f.u.
# * formation energy from the elements: 3.8 eV/f.u.
# * space-group type: C2/m
# * distance to the lowest polymorph of the same formula: 0 meV/atom
data_K2FeW
_cell_length_a 3.040
_cell_length_b 3.632
_cell_length_c 10.481
_cell_angle_alpha 99.82
_cell_angle_beta 98.34
_cell_angle_gamma 90.00
_symmetry_space_group_name_H-M 'P 1'
_symmetry_Int_Tables_number 1
loop_
_symmetry_equiv_pos_as_xyz
'x,y,z'
loop_
_atom_site_label
_atom_site_fract_x
_atom_site_fract_y
_atom_site_fract_z
_atom_site_occupancy
K1 0.147 0.143 0.293 1
K2 0.853 0.857 0.707 1
Fe1 0.500 0.000 0.000 1
W1 0.000 0.500 0.000 1


Record 2
# SrNiRh2 | the Alexandria database | PBEsol | relaxed
# * N(E_F): 7.078 states/eV/f.u.
# * formation energy from the elements: 1.9 eV/f.u.
# * space-group type: Fm-3m
data_SrNiRh2
_cell_length_a 4.518
_cell_length_b 4.518
_cell_length_c 4.518
_cell_angle_alpha 60.00
_cell_angle_beta 60.00
_cell_angle_gamma 60.00
_symmetry_space_group_name_H-M 'P 1'
_symmetry_Int_Tables_number 1
loop_
_symmetry_equiv_pos_as_xyz
'x,y,z'
loop_
_atom_site_label
_atom_site_fract_x
_atom_site_fract_y
_atom_site_fract_z
_atom_site_occupancy
Rh1 0.250 0.250 0.250 1
Ni1 0.000 0.000 0.000 1
Rh2 0.750 0.750 0.750 1
Sr1 0.500 0.500 0.500 1


Record 3
# AsF3 | the Alexandria database | PBEsol | relaxed
# * N(E_F): 0.000 states/eV/f.u.
# * space-group type: Pnma
data_AsF3
_cell_length_a 6.405
_cell_length_b 5.649
_cell_length_c 7.443
_cell_angle_alpha 90.00
_cell_angle_beta 90.00
_cell_angle_gamma 90.00
_symmetry_space_group_name_H-M 'P 1'
_symmetry_Int_Tables_number 1
loop_
_symmetry_equiv_pos_as_xyz
'x,y,z'
loop_
_atom_site_label
_atom_site_fract_x
_atom_site_fract_y
_atom_site_fract_z
_atom_site_occupancy
F1 0.750 0.630 0.313 1
F2 0.450 0.031 0.541 1
F3 0.450 0.469 0.041 1
F4 0.750 0.870 0.813 1
F5 0.250 0.370 0.687 1
F6 0.651 0.370 0.687 1
As1 0.950 0.669 0.745 1
F7 0.151 0.630 0.313 1
As2 0.450 0.331 0.255 1
As3 0.950 0.831 0.245 1
F8 0.950 0.969 0.459 1
F9 0.250 0.130 0.187 1
F10 0.950 0.531 0.959 1
F11 0.651 0.130 0.187 1
As4 0.450 0.169 0.755 1
F12 0.151 0.870 0.813 1


Record 4
# Sr4RuAu | the Alexandria database | PBEsol | relaxed
# * N(E_F): 5.632 states/eV/f.u.
# * formation energy from the elements: 6.3 eV/f.u.
# * space-group type: F-43m
data_Sr4RuAu
_cell_length_a 6.275
_cell_length_b 6.275
_cell_length_c 6.275
_cell_angle_alpha 60.00
_cell_angle_beta 60.00
_cell_angle_gamma 60.00
_symmetry_space_group_name_H-M 'P 1'
_symmetry_Int_Tables_number 1
loop_
_symmetry_equiv_pos_as_xyz
'x,y,z'
loop_
_atom_site_label
_atom_site_fract_x
_atom_site_fract_y
_atom_site_fract_z
_atom_site_occupancy
Sr1 0.877 0.374 0.374 1
Sr2 0.374 0.374 0.374 1
Sr3 0.374 0.877 0.374 1
Sr4 0.374 0.374 0.877 1
Au1 0.750 0.750 0.750 1
Ru1 0.000 0.000 0.000 1


Record 5
# Mn2ReOs | the Alexandria database | PBEsol | relaxed
# * N(E_F): 3.173 states/eV/f.u.
# * formation energy from the elements: 0.9 eV/f.u.
# * space-group type: F-43m
data_Mn2ReOs
_cell_length_a 4.193
_cell_length_b 4.193
_cell_length_c 4.193
_cell_angle_alpha 60.00
_cell_angle_beta 60.00
_cell_angle_gamma 60.00
_symmetry_space_group_name_H-M 'P 1'
_symmetry_Int_Tables_number 1
loop_
_symmetry_equiv_pos_as_xyz
'x,y,z'
loop_
_atom_site_label
_atom_site_fract_x
_atom_site_fract_y
_atom_site_fract_z
_atom_site_occupancy
Mn1 0.000 0.000 0.000 1
Os1 0.500 0.500 0.500 1
Re1 0.250 0.250 0.250 1
Mn2 0.750 0.750 0.750 1


Record 6
# SrLiTiF6 | the Alexandria database | PBEsol | relaxed
# * N(E_F): 8.642 states/eV/f.u.
# * space-group type: P-31c
data_SrLiTiF6
_cell_length_a 5.221
_cell_length_b 5.221
_cell_length_c 10.415
_cell_angle_alpha 90.00
_cell_angle_beta 90.00
_cell_angle_gamma 120.00
_symmetry_space_group_name_H-M 'P 1'
_symmetry_Int_Tables_number 1
loop_
_symmetry_equiv_pos_as_xyz
'x,y,z'
loop_
_atom_site_label
_atom_site_fract_x
_atom_site_fract_y
_atom_site_fract_z
_atom_site_occupancy
Ti1 0.667 0.333 0.750 1
Li1 0.667 0.333 0.250 1
F1 0.992 0.631 0.856 1
F2 0.631 0.992 0.356 1
Sr1 0.000 0.000 0.000 1
F3 0.992 0.361 0.644 1
F4 0.361 0.369 0.356 1
Ti2 0.333 0.667 0.250 1
F5 0.631 0.639 0.144 1
F6 0.369 0.008 0.644 1
F7 0.639 0.631 0.644 1
F8 0.008 0.639 0.356 1
Li2 0.333 0.667 0.750 1
F9 0.369 0.361 0.856 1
F10 0.008 0.369 0.144 1
F11 0.361 0.992 0.144 1
F12 0.639 0.008 0.856 1
Sr2 0.000 0.000 0.500 1


Taking the records one at a time from the top gives E_tot values of -21.21 -22.41 -77.75 -15.20 -44.19 -109.35 eV/cell.